Compound: CsTcSbH2
Source: the Alexandria database
Functional: PBE-GGA
Structure: relaxed

Lattice parameters (Å, degrees): 7.7110 4.4891 6.8485 90.00 96.33 90.00
Fractional positions:
Cs 0.0000 0.0000 0.0000
Cs 0.5000 0.5000 0.0000
Tc 0.3882 0.0000 0.5408
Tc 0.8882 0.5000 0.5408
Sb 0.2210 0.5000 0.4626
Sb 0.7210 0.0000 0.4626
H 0.0343 0.5000 0.7358
H 0.2969 0.0000 0.7492
H 0.5343 0.0000 0.7358
H 0.7969 0.5000 0.7492

Properties
The calculation puts the spin magnetization at 0.00 Bohr magnetons per cell. As for the volume: 117.8 Å³/f.u. The value obtained for the offset from the most stable computed form is 75 meV/atom. The calculation puts the final energy at -43.3 eV for the cell shown.


Compound: CsTcSbH2
Source: the Alexandria database
Functional: PBE-GGA
Structure: relaxed

Lattice parameters (Å, degrees): 4.2945 6.7007 4.4900 90.00 118.25 90.00
Fractional positions:
Cs 0.0000 0.0000 0.0000
Tc 0.3320 0.5000 0.6601
Sb 0.6576 0.5000 0.3082
H 0.3298 0.2374 0.6574
H 0.3298 0.7626 0.6574

Properties
The calculation puts the spin magnetization at 0.04 Bohr magnetons per cell. As for the volume: 113.8 Å³/f.u. The value obtained for the offset from the most stable computed form is 36 meV/atom. The calculation puts the final energy at -21.8 eV for the cell shown.


Compound: CsTcSbH2
Source: the Alexandria database
Functional: PBE-GGA
Structure: relaxed

Lattice parameters (Å, degrees): 15.4579 3.6983 3.3595 90.00 102.41 90.00
Fractional positions:
Cs 0.0000 0.0000 0.0000
Cs 0.5000 0.5000 0.0000
Tc 0.2140 0.5000 0.7178
Tc 0.7140 0.0000 0.7178
Sb 0.2967 0.0000 0.2997
Sb 0.7967 0.5000 0.2997
H 0.1506 0.5000 0.1550
H 0.3220 0.5000 0.8258
H 0.6506 0.0000 0.1550
H 0.8220 0.0000 0.8258

Properties
The calculation puts the spin magnetization at 0.00 Bohr magnetons per cell. As for the volume: 93.8 Å³/f.u. The value obtained for the offset from the most stable computed form is 134 meV/atom. The calculation puts the final energy at -42.7 eV for the cell shown.


Please write out number 2 again, unchanged.
Compound: CsTcSbH2
Source: the Alexandria database
Functional: PBE-GGA
Structure: relaxed

Lattice parameters (Å, degrees): 4.2945 6.7007 4.4900 90.00 118.25 90.00
Fractional positions:
Cs 0.0000 0.0000 0.0000
Tc 0.3320 0.5000 0.6601
Sb 0.6576 0.5000 0.3082
H 0.3298 0.2374 0.6574
H 0.3298 0.7626 0.6574

Properties
The calculation puts the spin magnetization at 0.04 Bohr magnetons per cell. As for the volume: 113.8 Å³/f.u. The value obtained for the offset from the most stable computed form is 36 meV/atom. The calculation puts the final energy at -21.8 eV for the cell shown.


- Look up the final energy of the third one.
  -42.7 eV for the cell shown


- What is the formula in the first record?
  CsTcSbH2